The following is a GGA-PBE calculation of an optimized crystal structure of Cs2CuCBr6, from Alexandria via LeMat-Bulk.

The calculation puts the uncorrected formation energy at -0.310 eV per atom. The mass density comes out at 4.87 g/cm3. For the calculated total energy, the calculation gives -2.82 eV per atom.

The space group is I4/mmm (No. 139) and the conventional cell measures 7.362, 7.362 and 10.334 Å, with angles of 90.00, 90.00 and 90.00 degrees. The inequivalent atoms are Cs at (0.000, 0.500, 0.250), Cu at (0.000, 0.000, 0.000), C at (0.000, 0.000, 0.500), Br at (0.000, 0.000, 0.253) and Br at (0.244, 0.244, 0.500).